Record 1
A geometry-optimized Na3MgOs2O9 structure, computed with PBE.

Cell lengths 5.4962, 5.4962, 6.7813 Å; angles 90.00, 90.00, 120.00 degrees
Atoms (fractional coordinates):
O (0.5000, 0.5000, 0.0000)
O (0.1719, 0.3437, 0.3216)
O (0.1719, 0.8281, 0.3216)
O (0.8281, 0.6563, 0.6784)
O (0.3437, 0.1719, 0.6784)
O (0.8281, 0.1719, 0.6784)
O (0.6563, 0.8281, 0.3216)
O (0.0000, 0.5000, 0.0000)
O (0.5000, 0.0000, 0.0000)
Mg (0.0000, 0.0000, 0.5000)
Os (0.3333, 0.6667, 0.1689)
Os (0.6667, 0.3333, 0.8311)
Na (0.0000, 0.0000, 0.0000)
Na (0.6667, 0.3333, 0.3485)
Na (0.3333, 0.6667, 0.6515)

V	11.8	Å³/atom
total magnetization	0.0	μB/cell
VASP energy	-94.9	eV per formula unit
ΔE_f (raw)	-1.48	eV per atom

Record 2
A geometry-optimized Na2Mg2OsO6 structure, computed with PBE.

Cell lengths 5.2472, 5.2472, 5.8238 Å; angles 99.56, 99.56, 118.51 degrees
Site moments in Bohr magnetons follow the coordinates.
Atoms (fractional coordinates):
Na (0.8280, 0.1720, 0.0000)  0.00
Na (0.1720, 0.8280, 0.0000)  0.00
O (0.3770, 0.0612, 0.6932)  0.06
O (0.6230, 0.9388, 0.3068)  0.06
O (0.2407, 0.2407, 0.3064)  0.09
O (0.0612, 0.3770, 0.6932)  0.06
O (0.7593, 0.7593, 0.6936)  0.09
O (0.9388, 0.6230, 0.3068)  0.06
Mg (0.6624, 0.3376, 0.5000)  0.01
Mg (0.3376, 0.6624, 0.5000)  0.01
Os (0.0000, 0.0000, 0.5000)  1.38

V	12.1	Å³/atom
total magnetization	2.0	μB/cell
VASP energy	-66.7	eV per formula unit
ΔE_f (raw)	-1.81	eV per atom